## PuSn3H (GGA-PBE)

Data for PuSn3H after structural relaxation.

Output
Electronic total energy   -6.05 eV/atom

a b c (Å): 4.709 4.709 4.709
angles (deg): 90.00 90.00 90.00
Last column: magnetic moment on the atom in μB.
Sites, in units of the cell vectors:
H: 0.000 0.000 0.000  0.01
Sn: 0.000 0.500 0.000  -0.01
Sn: 0.000 0.000 0.500  -0.01
Sn: 0.500 0.000 0.000  -0.01
Pu: 0.500 0.500 0.500  5.31